Entry from Alexandria via LeMat-Bulk: a relaxed Ac2PuTe3Rh4 crystal (PBE).

Cell lengths 4.5787, 4.5787, 11.2331 Å; angles 90.00, 90.00, 90.00 degrees
Space group P-4m2 (No. 115)
Asymmetric unit:
Ac1 0.0000 0.5000 0.2257 x2
Pu1 0.0000 0.0000 0.5000 x1
Te1 0.0000 0.5000 0.8728 x2
Te2 0.5000 0.5000 0.5000 x1
Rh1 0.0000 0.0000 0.0000 x1
Rh2 0.0000 0.5000 0.6399 x2
Rh3 0.5000 0.5000 0.0000 x1

The value obtained for the uncorrected formation energy is -7.76 eV/f.u. The calculation puts the total energy at -69.1 eV/cell. The calculation puts the spin magnetization at 4.9 Bohr magnetons per cell.